No. 1
# ZnOsSCl2

A relaxed ZnOsSCl2 crystal (PBE, Alexandria via LeMat-Bulk).

Lattice parameters (Å, degrees): 4.5777 4.5777 5.1743 90.00 90.00 90.00
Closest atoms and distances in Å follow each position.
Space group P4/mmm (No. 123)
Symmetry-distinct sites (fractional):
Zn 0.0000 0.0000 0.0000  4 Cl 2.29
Os 0.5000 0.5000 0.5000  4 S 3.24, 8 Cl 3.45
S 0.0000 0.0000 0.5000  2 Zn 2.59
Cl 0.0000 0.5000 0.0000  2 Zn 2.29

## Properties
Raw formation energy ... 0.93 eV/atom
Offset from the most stable computed form ... 692 meV per atom
Crystal system ... tetragonal
Total DFT energy (no corrections) ... -3.13 eV/atom
Density of states at the Fermi level ... 4.1 states/eV/f.u.



No. 2
# BaGa2Cu2

A relaxed BaGa2Cu2 crystal (PBE, Alexandria via LeMat-Bulk).

Lattice parameters (Å, degrees): 6.5082 6.5161 6.7815 106.21 107.61 113.16
Closest atoms and distances in Å follow each position.
Space group P-1 (No. 2)
Symmetry-distinct sites (fractional):
Ba 0.1395 0.3882 0.2503  6 Cu 3.38-3.63, 6 Ga 3.61-3.69
Ga 0.1625 0.1888 0.7084  4 Cu 2.43-2.51, 1 Ga 2.63
Ga 0.4779 0.9524 0.7905  4 Cu 2.43-2.51, 1 Ga 2.63
Cu 0.2926 0.9927 0.4335  4 Ga 2.43-2.51, 1 Cu 2.53
Cu 0.4412 0.6414 0.9346  4 Ga 2.43-2.51, 1 Cu 2.53

## Properties
Calculated formation energy ... -262.1 meV per atom
Crystal system ... triclinic
Total DFT energy (no corrections) ... -3.50 eV/atom
Density of states at the Fermi level ... 1.7 states/eV/f.u.